1.
A relaxed GaFeCoAu crystal, computed with PBE.

```
GaFeCoAu
1.0
0.0000 3.0393 3.0393
3.0393 0.0000 3.0393
3.0393 3.0393 0.0000
Fe Co Au Ga
1 1 1 1
direct
0.5000 0.5000 0.5000 Fe
0.7500 0.7500 0.7500 Co
0.2500 0.2500 0.2500 Au
0.0000 0.0000 0.0000 Ga
```

Properties
theoretical density	11.28	g cm⁻³
raw total energy	-5.371	eV per atom
spin magnetization	4.2	μB per cell
crystal system	cubic


2.
A relaxed FeCoGeAu crystal, computed with PBE.

```
FeCoGeAu
1.0
-3.3557 -2.2837 1.3179
-3.9226 0.9940 -1.3557
-2.0315 -2.5769 -2.7285
Au Ge Fe Co
1 1 1 1
direct
0.5000 0.5000 0.5000 Au
0.0000 0.0000 0.0000 Ge
0.2500 0.2500 0.2500 Fe
0.7500 0.7500 0.7500 Co
```

Properties
theoretical density	11.61	g cm⁻³
raw total energy	-5.671	eV per atom
spin magnetization	3.3	μB per cell
crystal system	cubic


3.
A relaxed FeCoPbAu crystal, computed with PBE.

```
FeCoPbAu
1.0
-0.8931 2.1473 3.8670
-3.4938 2.8451 0.2460
-3.6506 -1.1128 2.4076
Pb Fe Co Au
1 1 1 1
direct
0.0000 0.0000 0.0000 Pb
0.2500 0.2500 0.2500 Fe
0.7500 0.7500 0.7500 Co
0.5000 0.5000 0.5000 Au
```

Properties
theoretical density	13.26	g cm⁻³
raw total energy	-5.190	eV per atom
spin magnetization	4.0	μB per cell
crystal system	cubic


4.
A relaxed FeCoSnAu crystal, computed with PBE.

```
FeCoSnAu
1.0
-2.4713 1.2744 3.4176
-1.9811 3.9348 -0.0599
-4.3781 0.2558 -0.4213
Co Au Sn Fe
1 1 1 1
direct
0.7500 0.7500 0.7500 Co
0.5000 0.5000 0.5000 Au
0.0000 0.0000 0.0000 Sn
0.2500 0.2500 0.2500 Fe
```

Properties
theoretical density	11.82	g cm⁻³
raw total energy	-5.509	eV per atom
spin magnetization	3.3	μB per cell
crystal system	cubic


5.
A relaxed ZnFeCoAu crystal, computed with PBE.

```
ZnFeCoAu
1.0
0.0000 3.0240 3.0240
3.0240 0.0000 3.0240
3.0240 3.0240 0.0000
Zn Au Co Fe
1 1 1 1
direct
0.0000 0.0000 0.0000 Zn
0.2500 0.2500 0.2500 Au
0.7500 0.7500 0.7500 Co
0.5000 0.5000 0.5000 Fe
```

Properties
theoretical density	11.32	g cm⁻³
spin magnetization	4.5	μB per cell
crystal system	cubic
formation energy	0.070	eV/atom


6.
A relaxed GaCo2Au crystal, computed with PBE.

```
GaCo2Au
1.0
0.0000 3.0138 3.0138
3.0138 0.0000 3.0138
3.0138 3.0138 0.0000
Au Co Ga
1 2 1
direct
0.2500 0.2500 0.2500 Au
0.7500 0.7500 0.7500 Co
0.0000 0.0000 0.0000 Co
0.5000 0.5000 0.5000 Ga
```

Properties
theoretical density	11.66	g cm⁻³
raw total energy	-5.017	eV per atom
spin magnetization	2.9	μB per cell
crystal system	cubic